Entry 1:
# PBE CuReNiSn, relaxed
# Total magnetization: 1.3 μB/cell
# Volume: 60 Å³/cell
# Energy above the lowest structure with this stoichiometry: 0 meV/atom
# E_tot: -24.0 eV/cell
data_CuReNiSn
_symmetry_space_group_name_H-M 'P 1'
_symmetry_Int_Tables_number 1
_symmetry_space_group_name_Hall 'P 1'
_cell_length_a 4.384
_cell_length_b 4.384
_cell_length_c 4.384
_cell_angle_alpha 60.00
_cell_angle_beta 60.00
_cell_angle_gamma 60.00
loop_
_atom_site_label
_atom_site_fract_x
_atom_site_fract_y
_atom_site_fract_z
Cu1 0.750 0.750 0.750
Re1 0.250 0.250 0.250
Ni1 0.500 0.500 0.500
Sn1 0.000 0.000 0.000

Entry 2:
# PBE CdH2S2, relaxed
# Volume: 169 Å³/cell
# E_tot: -34.9 eV/cell
data_CdH2S2
_symmetry_space_group_name_H-M 'P 1'
_symmetry_Int_Tables_number 1
_symmetry_space_group_name_Hall 'P 1'
_cell_length_a 7.328
_cell_length_b 7.328
_cell_length_c 4.017
_cell_angle_alpha 105.10
_cell_angle_beta 105.10
_cell_angle_gamma 116.10
loop_
_atom_site_label
_atom_site_fract_x
_atom_site_fract_y
_atom_site_fract_z
H1 0.349 0.654 0.491
H2 0.644 0.644 0.127
H3 0.654 0.349 0.491
H4 0.292 0.292 0.903
Cd1 0.123 0.833 0.979
Cd2 0.833 0.123 0.979
S1 0.866 0.386 0.620
S2 0.844 0.844 0.334
S3 0.386 0.866 0.620
S4 0.283 0.283 0.233

Entry 3:
# PBE Be2Pd2O5, relaxed
# Volume: 79 Å³/cell
# Energy above the lowest structure with this stoichiometry: 0 meV/atom
# E_tot: -51.1 eV/cell
data_Be2Pd2O5
_symmetry_space_group_name_H-M 'P 1'
_symmetry_Int_Tables_number 1
_symmetry_space_group_name_Hall 'P 1'
_cell_length_a 6.852
_cell_length_b 3.391
_cell_length_c 3.391
_cell_angle_alpha 90.00
_cell_angle_beta 90.00
_cell_angle_gamma 90.00
loop_
_atom_site_label
_atom_site_fract_x
_atom_site_fract_y
_atom_site_fract_z
O1 0.187 0.500 0.000
O2 0.500 0.500 0.500
O3 0.813 0.500 0.000
O4 0.187 0.000 0.500
O5 0.813 0.000 0.500
Pd1 0.500 0.000 0.000
Pd2 0.000 0.000 0.000
Be1 0.738 0.500 0.500
Be2 0.262 0.500 0.500

Entry 4:
# PBE NpTlCo, relaxed
# Total magnetization: 3.5 μB/cell
# Volume: 63 Å³/cell
# E_tot: -21.1 eV/cell
data_NpTlCo
_symmetry_space_group_name_H-M 'P 1'
_symmetry_Int_Tables_number 1
_symmetry_space_group_name_Hall 'P 1'
_cell_length_a 4.457
_cell_length_b 4.457
_cell_length_c 4.457
_cell_angle_alpha 60.00
_cell_angle_beta 60.00
_cell_angle_gamma 60.00
loop_
_atom_site_label
_atom_site_fract_x
_atom_site_fract_y
_atom_site_fract_z
Np1 0.250 0.250 0.250
Co1 0.000 0.000 0.000
Tl1 0.750 0.750 0.750

Entry 5:
# PBE Co2NiPt2, relaxed
# Total magnetization: 5.2 μB/cell
# Volume: 75 Å³/cell
# E_tot: -29.6 eV/cell
# DFT formation energy: 0.459 eV per atom
data_Co2NiPt2
_symmetry_space_group_name_H-M 'P 1'
_symmetry_Int_Tables_number 1
_symmetry_space_group_name_Hall 'P 1'
_cell_length_a 3.724
_cell_length_b 3.724
_cell_length_c 6.002
_cell_angle_alpha 108.07
_cell_angle_beta 108.07
_cell_angle_gamma 90.00
loop_
_atom_site_label
_atom_site_fract_x
_atom_site_fract_y
_atom_site_fract_z
Pt1 0.250 0.750 0.500
Pt2 0.750 0.250 0.500
Ni1 0.000 0.000 0.000
Co1 0.595 0.595 0.191
Co2 0.405 0.405 0.809

Entry 6:
# PBE RbSmHgTe3, relaxed
# Total magnetization: 0.0 μB/cell
# Volume: 826 Å³/cell
# Energy above the lowest structure with this stoichiometry: 107 meV/atom
# E_tot: -82.7 eV/cell
data_RbSmHgTe3
_symmetry_space_group_name_H-M 'P 1'
_symmetry_Int_Tables_number 1
_symmetry_space_group_name_Hall 'P 1'
_cell_length_a 9.075
_cell_length_b 4.873
_cell_length_c 18.678
_cell_angle_alpha 90.00
_cell_angle_beta 90.00
_cell_angle_gamma 90.00
loop_
_atom_site_label
_atom_site_fract_x
_atom_site_fract_y
_atom_site_fract_z
Hg1 0.949 0.750 0.160
Hg2 0.051 0.250 0.840
Hg3 0.551 0.250 0.660
Hg4 0.449 0.750 0.340
Te1 0.499 0.250 0.425
Te2 0.630 0.750 0.050
Te3 0.001 0.750 0.925
Te4 0.370 0.250 0.950
Te5 0.282 0.750 0.209
Te6 0.218 0.250 0.709
Te7 0.870 0.250 0.550
Te8 0.718 0.250 0.791
Te9 0.130 0.750 0.450
Te10 0.782 0.750 0.291
Te11 0.501 0.750 0.575
Te12 0.999 0.250 0.075
Rb1 0.419 0.750 0.809
Rb2 0.081 0.250 0.309
Rb3 0.919 0.750 0.691
Rb4 0.581 0.250 0.191
Sm1 0.226 0.250 0.542
Sm2 0.774 0.750 0.458
Sm3 0.274 0.750 0.042
Sm4 0.726 0.250 0.958